Computed, not measured: an optimized crystal structure of La12Dy3Er at the GGA-PBE level of DFT. Values from VASP.

Properties
The calculation puts the final energy at -77.37 eV for the cell shown. Its space-group type is No. 123. For the magnetic moment, the calculation gives 0.00 μB per formula unit.

Structure (Quantum ESPRESSO input):
```
&SYSTEM
  ibrav = 0, nat = 16, ntyp = 3
/
ATOMIC_SPECIES
La 138.91 La.upf
Dy 162.50 Dy.upf
Er 167.26 Er.upf
ATOMIC_POSITIONS crystal
La 0.000 0.000 0.000
La 0.000 0.000 0.250
La 0.000 0.000 0.500
La 0.000 0.000 0.750
La 0.000 0.500 0.125
La 0.000 0.500 0.375
La 0.000 0.500 0.625
La 0.000 0.500 0.875
La 0.500 0.000 0.125
La 0.500 0.000 0.375
La 0.500 0.000 0.625
La 0.500 0.000 0.875
Dy 0.500 0.500 0.000
Dy 0.500 0.500 0.250
Dy 0.500 0.500 0.750
Er 0.500 0.500 0.500
CELL_PARAMETERS angstrom
5.204 0.000 0.000
0.000 5.204 0.000
0.000 0.000 20.800
```